1.
Material: LiZr2ReH
Method: DFT, GGA-PBE
State: optimized geometry

The space group is P4/mmm (No. 123) and the conventional cell measures 4.620, 4.620 and 3.435 Å, with angles of 90.00, 90.00 and 90.00 degrees. The distinct sites, in fractional coordinates, are Li at (0.000, 0.000, 0.000), Zr at (0.000, 0.500, 0.500), Re at (0.500, 0.500, 0.000) and H at (0.000, 0.000, 0.500).

The total moment is 0.00 μB/atom. As for the final energy: -35.76 eV/cell. The density of states at the Fermi level comes out at 2.60 states/eV per cell.

2.
Material: MgP2
Method: DFT, GGA-PBE
State: optimized geometry

The space group is Pa-3 (No. 205) and the conventional cell measures 6.354, 6.354 and 6.354 Å, with angles of 90.00, 90.00 and 90.00 degrees. The distinct sites, in fractional coordinates, are Mg at (0.000, 0.000, 0.000) and P at (0.093, 0.593, 0.907).

The formation energy comes out at -0.003 eV per atom. The total moment is 0.00 μB/atom. As for the final energy: -49.70 eV/cell. The density of states at the Fermi level comes out at 9.37 states/eV per cell.